AcLa6 | PBE-GGA | relaxed

Unit cell a=8.286 b=8.286 c=8.286 alpha=90.00 beta=90.00 gamma=90.00
Fractional positions:
1 Ac 0.000 0.000 0.000
2 Ac 0.500 0.500 0.500
3 La 0.000 0.250 0.500
4 La 0.000 0.500 0.250
5 La 0.000 0.500 0.750
6 La 0.000 0.750 0.500
7 La 0.250 0.000 0.500
8 La 0.250 0.500 0.000
9 La 0.500 0.000 0.250
10 La 0.500 0.000 0.750
11 La 0.500 0.250 0.000
12 La 0.500 0.750 0.000
13 La 0.750 0.000 0.500
14 La 0.750 0.500 0.000

Symmetry: Im-3m, No. 229
Energy above the lowest structure with this stoichiometry, eV/atom: 0.6674
DOS at the Fermi energy, states/eV per cell: 13.25
Energy of formation, eV/atom: 0.733


In2BrF | PBE-GGA | relaxed

Unit cell a=6.551 b=6.764 c=12.706 alpha=90.00 beta=102.92 gamma=90.00
Fractional positions:
1 In 0.190 0.070 0.115
2 In 0.190 0.930 0.615
3 In 0.236 0.323 0.868
4 In 0.236 0.677 0.368
5 In 0.764 0.323 0.632
6 In 0.764 0.677 0.132
7 In 0.810 0.070 0.385
8 In 0.810 0.930 0.885
9 Br 0.294 0.151 0.352
10 Br 0.294 0.849 0.852
11 Br 0.706 0.151 0.148
12 Br 0.706 0.849 0.648
13 F 0.137 0.252 0.677
14 F 0.137 0.748 0.177
15 F 0.863 0.252 0.823
16 F 0.863 0.748 0.323

Symmetry: P2/c, No. 13
Energy above the lowest structure with this stoichiometry, eV/atom: 0.0021
DOS at the Fermi energy, states/eV per cell: 0.00
ΔE_f (raw), eV per atom: -1.136